DFT (PBE+U) results for crystalline CsCrGeO4 at its relaxed geometry.

extended XYZ file:
```
14
Lattice="5.385 0.000 0.000 0.000 5.582 0.000 -0.084 0.000 7.927" Properties=species:S:1:pos:R:3 pbc="T T T"
Cs 1.293 1.396 0.873
Cs 4.008 4.187 7.054
Cr 0.847 4.187 3.760
Cr 4.453 1.396 4.167
Ge 1.812 1.396 5.037
Ge 3.488 4.187 2.890
O 0.526 0.110 5.125
O 0.526 2.681 5.125
O 2.059 4.187 1.871
O 2.612 1.396 3.454
O 2.688 4.187 4.473
O 3.242 1.396 6.056
O 4.775 2.901 2.802
O 4.775 5.473 2.802
```

Values from the calculation:
Density of states at the Fermi level (states/eV/atom): 0.000
Energy (eV for the cell shown): -88.49
Calculated volume (Å³ per cell): 238